## Ce2ThHg (PBE)

Data for a relaxed structure of Ce2ThHg.

Cell lengths 5.412, 5.412, 5.412 Å; angles 60.00, 60.00, 60.00 degrees
Site moments in Bohr magnetons follow the coordinates.
Fractional coordinates of all 4 atoms:
Ce (0.250, 0.250, 0.250)  0.45
Hg (0.500, 0.500, 0.500)  0.00
Th (0.000, 0.000, 0.000)  0.16
Ce (0.750, 0.750, 0.750)  0.45

Space group   No. 225
DFT formation energy   6.1 kJ/mol of atoms
Total DFT energy (no corrections)   -4.83 eV/atom
Energy above the lowest structure with this stoichiometry   0.2022 eV/atom